Record 1
## YBiTeO6 (PBE)

Data for a relaxed YBiTeO6 crystal.

Geometry as POSCAR:
```
YBiTeO6
1.0
5.645 0.000 0.000
-2.822 4.889 0.000
0.000 0.000 9.603
Y Bi Te O
2 2 2 12
Cartesian
0.000 3.259 2.401 Y
2.822 1.630 7.202 Y
0.000 0.000 0.000 Bi
0.000 0.000 4.802 Bi
0.000 3.259 7.202 Te
2.822 1.630 2.401 Te
-0.835 1.857 6.110 O
-1.632 3.237 8.295 O
0.835 1.857 8.295 O
-0.797 4.683 6.110 O
2.026 0.205 1.308 O
1.191 1.652 3.493 O
1.632 3.237 6.110 O
0.797 4.683 8.295 O
3.619 0.205 3.493 O
1.988 3.032 1.308 O
4.454 1.652 1.308 O
3.657 3.032 3.493 O
```

Summary:
SG ... P-31c

---

Record 2
## YBi2TeO8 (PBE)

Data for a relaxed YBi2TeO8 crystal.

Geometry as POSCAR:
```
YBi2TeO8
1.0
3.633 -3.638 0.000
3.633 3.638 0.000
0.000 0.000 6.890
Y Bi Te O
1 2 1 8
Cartesian
0.000 0.000 0.000 Y
3.633 0.000 1.745 Bi
3.633 0.000 5.145 Bi
0.000 0.000 3.445 Te
1.297 0.000 1.940 O
1.297 0.000 4.949 O
3.633 1.689 3.445 O
3.633 1.380 0.000 O
3.633 -1.380 0.000 O
3.633 -1.689 3.445 O
5.969 0.000 1.940 O
5.969 0.000 4.949 O
```

Summary:
SG ... Cmmm

---

Record 3
## YBi2TeO4 (PBE)

Data for a relaxed YBi2TeO4 crystal.

Geometry as POSCAR:
```
YBi2TeO4
1.0
3.890 0.000 0.000
0.000 3.890 0.000
0.000 0.000 10.163
Y Bi Te O
1 2 1 4
Cartesian
0.000 0.000 0.000 Y
1.945 1.945 2.526 Bi
1.945 1.945 7.637 Bi
0.000 0.000 5.082 Te
0.000 1.945 1.394 O
0.000 1.945 8.769 O
1.945 0.000 1.394 O
1.945 0.000 8.769 O
```

Summary:
SG ... P4/mmm

---

Record 4
## Zn2BiTeO6 (PBE)

Data for a relaxed Zn2BiTeO6 crystal.

Geometry as POSCAR:
```
Zn2BiTeO6
1.0
4.921 -5.052 0.000
4.921 5.052 0.000
-0.694 0.000 5.728
Zn Bi Te O
4 2 2 12
Cartesian
1.574 0.931 1.796 Zn
1.227 -0.931 4.660 Zn
7.921 0.931 1.068 Zn
7.575 -0.931 3.932 Zn
4.401 1.079 4.296 Bi
4.748 -1.079 1.432 Bi
4.748 2.919 1.432 Te
4.401 -2.919 4.296 Te
0.887 0.788 3.684 O
3.275 2.736 5.226 O
1.234 -0.788 0.820 O
3.498 1.315 2.131 O
5.526 2.736 3.366 O
5.997 1.315 0.733 O
3.152 -1.315 4.995 O
3.622 -2.736 2.362 O
5.650 -1.315 3.597 O
7.915 0.788 4.908 O
5.873 -2.736 0.502 O
8.261 -0.788 2.044 O
```

Summary:
SG ... C2/c

---

Record 5
## ZnBiTe2O8 (PBE)

Data for a relaxed ZnBiTe2O8 crystal.

Geometry as POSCAR:
```
ZnBiTe2O8
1.0
-3.663 3.663 3.414
3.663 -3.663 3.414
3.663 3.663 -3.414
Zn Bi Te O
1 1 2 8
Cartesian
0.000 0.000 0.000 Zn
0.000 3.663 1.707 Bi
3.663 0.000 1.707 Te
0.000 0.000 3.414 Te
2.232 0.000 0.457 O
5.095 0.000 0.457 O
3.663 2.310 -1.305 O
3.663 -1.432 2.957 O
0.000 1.353 2.110 O
3.663 1.432 2.957 O
2.310 3.663 1.305 O
1.353 0.000 4.719 O
```

Summary:
SG ... I-4m2

---

Record 6
## Zn2BiTeO8 (PBE)

Data for a relaxed Zn2BiTeO8 crystal.

Geometry as POSCAR:
```
Zn2BiTeO8
1.0
-3.266 3.266 3.505
3.266 -3.266 3.505
3.266 3.266 -3.505
Zn Bi Te O
2 1 1 8
Cartesian
0.000 0.000 0.000 Zn
0.000 3.266 1.753 Zn
3.266 0.000 1.753 Bi
0.000 0.000 3.505 Te
3.266 1.310 -0.322 O
2.115 3.266 -1.982 O
1.151 0.000 1.523 O
1.310 3.266 0.322 O
1.956 0.000 3.827 O
3.266 2.115 1.982 O
0.000 1.956 3.183 O
0.000 1.151 5.487 O
```

Summary:
SG ... I-4m2

---

Record 7
## ZrBiTeO6 (PBE)

Data for a relaxed ZrBiTeO6 crystal.

Geometry as POSCAR:
```
ZrBiTeO6
1.0
5.558 0.000 0.000
-2.779 4.814 0.000
0.000 0.000 9.920
Zr Bi Te O
2 2 2 12
Cartesian
0.000 3.209 2.480 Zr
2.779 1.605 7.440 Zr
0.000 0.000 0.000 Bi
0.000 0.000 4.960 Bi
0.000 3.209 7.440 Te
2.779 1.605 2.480 Te
-0.961 1.748 6.327 O
-1.746 3.107 8.554 O
0.961 1.748 8.554 O
-0.784 4.772 6.327 O
1.995 0.042 1.367 O
1.033 1.707 3.594 O
1.746 3.107 6.327 O
0.784 4.772 8.554 O
3.564 0.042 3.594 O
1.818 3.065 1.367 O
4.525 1.707 1.367 O
3.741 3.065 3.594 O
```

Summary:
SG ... P-31c

---

Record 8
## ThBiO4 (PBE)

Data for a relaxed ThBiO4 crystal.

Geometry as POSCAR:
```
ThBiO4
1.0
1.960 1.132 6.526
-1.960 1.132 6.526
0.000 -2.264 6.526
Th Bi O
1 1 4
Cartesian
0.000 0.000 0.000 Th
0.000 0.000 9.789 Bi
0.000 0.000 2.504 O
0.000 0.000 7.341 O
0.000 0.000 12.237 O
0.000 0.000 17.074 O
```

Summary:
SG ... R-3m

---

The total magnetization results, record by record, are as follows: 0.00 0.00 0.00 0.00 0.00 0.00 0.00 0.00 μB/atom.
The energy relative to the elements, uncorrected results, record by record, are as follows: -1783.6 -1564.2 -1772.4 -1136.2 -831.6 -747.5 -1739.8 -2357.4 meV/atom.
The final energy results, record by record, are as follows: -6.588 -6.317 -6.422 -5.068 -5.090 -4.851 -6.775 -7.546 eV per atom.